# 1
Computed, not measured: an optimized crystal structure of Hf2ScBPb at the PBE level of DFT.

Summary:
- Raw total energy: -7.678 eV per atom
- Crystal system: tetragonal

Cell and atoms, written as POSCAR:
```
Hf2ScBPb
1.0
-4.322 0.968 -1.340
-0.391 -4.244 -1.804
-1.615 -1.580 4.068
Pb Sc B Hf
1 1 1 2
direct
0.500 0.500 0.500 Pb
0.000 0.000 0.500 Sc
0.000 0.000 0.000 B
0.000 0.500 0.000 Hf
0.500 0.000 0.000 Hf
```

# 2
Computed, not measured: an optimized crystal structure of HfB2Pd at the PBE level of DFT.

Summary:
- Crystal system: cubic
- ΔE to the lowest computed polymorph: 94.4 meV per atom

Cell and atoms, written as POSCAR:
```
HfB2Pd
1.0
-0.539 0.444 4.029
-3.235 2.062 1.415
-3.029 -1.994 1.890
B Hf Pd
2 1 1
direct
0.250 0.250 0.250 B
0.750 0.750 0.750 B
0.500 0.500 0.500 Hf
0.000 0.000 0.000 Pd
```

# 3
Computed, not measured: an optimized crystal structure of HfB3Pd at the PBE level of DFT.

Summary:
- Crystal system: cubic
- ΔE to the lowest computed polymorph: 780.7 meV per atom

Cell and atoms, written as POSCAR:
```
HfB3Pd
1.0
4.325 0.000 0.000
0.000 4.325 0.000
0.000 0.000 4.325
B Hf Pd
3 1 1
direct
0.000 0.500 0.000 B
0.000 0.000 0.500 B
0.500 0.000 0.000 B
0.000 0.000 0.000 Hf
0.500 0.500 0.500 Pd
```

# 4
Computed, not measured: an optimized crystal structure of HfB3Pd at the PBE level of DFT.

Summary:
- Crystal system: cubic
- ΔE to the lowest computed polymorph: 0.0 meV per atom

Cell and atoms, written as POSCAR:
```
HfB3Pd
1.0
-1.101 -0.804 -3.800
3.874 -0.514 -1.013
-0.282 -3.922 0.912
B Hf Pd
3 1 1
direct
0.000 0.500 0.000 B
0.000 0.000 0.500 B
0.500 0.000 0.000 B
0.500 0.500 0.500 Hf
0.000 0.000 0.000 Pd
```